ReSbAu2 after structural relaxation. Source: the Alexandria database, functional PBE.

Crystal system: tetragonal
Space-group type: I-42d (122)
Raw formation energy, eV per formula unit: 2.58

Geometry as CIF:
```
data_ReSbAu2
_chemical_formula_sum 'Re2 Sb2 Au4'
_cell_length_a 6.081
_cell_length_b 6.081
_cell_length_c 6.081
_cell_angle_alpha 101.24
_cell_angle_beta 101.24
_cell_angle_gamma 127.60
_symmetry_space_group_name_H-M 'P 1'
_symmetry_Int_Tables_number 1
loop_
_symmetry_equiv_pos_as_xyz
'x,y,z'
loop_
_atom_site_label
_atom_site_fract_x
_atom_site_fract_y
_atom_site_fract_z
Re1 0.000 0.000 0.000
Re2 0.750 0.250 0.500
Sb1 0.250 0.750 0.500
Sb2 0.500 0.500 0.000
Au1 0.114 0.625 0.989
Au2 0.375 0.364 0.489
Au3 0.636 0.125 0.011
Au4 0.875 0.886 0.511
```

HgAs2Pb2 after structural relaxation. Source: the Alexandria database, functional PBE.

Polymorph energy (0 for the lowest one), meV per atom: 54
Energy relative to the elements, meV per atom: 88
Crystal system: tetragonal
Space-group type: P4/mbm (127)

Geometry as CIF:
```
data_HgAs2Pb2
_chemical_formula_sum 'Hg2 As4 Pb4'
_cell_length_a 8.324
_cell_length_b 8.324
_cell_length_c 3.990
_cell_angle_alpha 90.00
_cell_angle_beta 90.00
_cell_angle_gamma 90.00
_symmetry_space_group_name_H-M 'P 1'
_symmetry_Int_Tables_number 1
loop_
_symmetry_equiv_pos_as_xyz
'x,y,z'
loop_
_atom_site_label
_atom_site_fract_x
_atom_site_fract_y
_atom_site_fract_z
Hg1 0.000 0.000 0.000
Hg2 0.500 0.500 0.000
As1 0.109 0.391 0.000
As2 0.391 0.891 0.000
As3 0.609 0.109 0.000
As4 0.891 0.609 0.000
Pb1 0.171 0.671 0.500
Pb2 0.329 0.171 0.500
Pb3 0.671 0.829 0.500
Pb4 0.829 0.329 0.500
```

PmHoRhI after structural relaxation. Source: the Alexandria database, functional PBE.

Crystal system: trigonal
Space-group type: R3m (160)
Raw formation energy, eV per formula unit: -3.75

Geometry as CIF:
```
data_PmHoRhI
_chemical_formula_sum 'Pm1 Ho1 Rh1 I1'
_cell_length_a 8.367
_cell_length_b 8.367
_cell_length_c 8.367
_cell_angle_alpha 28.35
_cell_angle_beta 28.35
_cell_angle_gamma 28.35
_symmetry_space_group_name_H-M 'P 1'
_symmetry_Int_Tables_number 1
loop_
_symmetry_equiv_pos_as_xyz
'x,y,z'
loop_
_atom_site_label
_atom_site_fract_x
_atom_site_fract_y
_atom_site_fract_z
Pm1 0.000 0.000 0.000
Ho1 0.212 0.212 0.212
Rh1 0.603 0.603 0.603
I1 0.775 0.775 0.775
```

Ba2FeCl after structural relaxation. Source: the Alexandria database, functional PBE.

Polymorph energy (0 for the lowest one), meV per atom: 28
Crystal system: monoclinic
Space-group type: C2/m (12)
Raw formation energy, eV per formula unit: -1.66

Geometry as CIF:
```
data_Ba2FeCl
_chemical_formula_sum 'Ba2 Fe1 Cl1'
_cell_length_a 4.391
_cell_length_b 4.391
_cell_length_c 8.878
_cell_angle_alpha 104.58
_cell_angle_beta 104.58
_cell_angle_gamma 60.70
_symmetry_space_group_name_H-M 'P 1'
_symmetry_Int_Tables_number 1
loop_
_symmetry_equiv_pos_as_xyz
'x,y,z'
loop_
_atom_site_label
_atom_site_fract_x
_atom_site_fract_y
_atom_site_fract_z
Ba1 0.245 0.245 0.236
Ba2 0.755 0.755 0.764
Fe1 0.500 0.500 0.000
Cl1 0.000 0.000 0.500
```